(1)
18
Lattice="-6.841 0.429 -0.617 -0.493 -6.699 0.799 -3.976 1.060 6.434" Properties=species:S:1:pos:R:3 comment="Ti5Si2Sn2 PBE relaxed" sg=Cmce formation_energy_uncorrected_ev_per_atom=-0.56 pbc="T T T"
Ti -6.193 -0.151 4.770
Ti 0.000 0.000 0.000
Ti -5.978 -1.640 1.347
Ti -5.117 -5.059 1.847
Ti -5.332 -3.570 5.270
Ti -2.480 -0.810 1.531
Ti -3.667 -3.135 0.091
Ti -1.619 -4.229 2.031
Ti -8.829 -4.400 5.086
Ti -9.690 -0.980 4.586
Sn -7.081 0.795 2.296
Sn -7.403 -2.440 3.612
Sn -3.736 0.695 3.521
Sn -3.907 -2.770 3.005
Si -1.052 -2.447 0.220
Si -4.351 -0.579 -0.286
Si -2.983 -5.691 0.468
Si -6.282 -3.823 -0.038

***

(2)
4
Lattice="-1.351 0.858 -2.885 2.537 -1.389 -1.588 -4.196 -7.396 -0.236" Properties=species:S:1:pos:R:3 comment="TlAg2Sb PBE relaxed" sg=Cmmm formation_energy_uncorrected_ev_per_atom=0.16 pbc="T T T"
Sb -0.456 -2.114 -2.296
Tl -2.554 -5.812 -2.414
Ag -2.062 -3.634 -0.116
Ag -0.036 -0.064 -0.002

***

(3)
18
Lattice="5.434 0.000 0.000 -2.717 4.706 0.000 0.000 0.000 9.913" Properties=species:S:1:pos:R:3 comment="CaInIO6 PBE relaxed" sg=P-31c formation_energy_uncorrected_ev_per_atom=-1.36 pbc="T T T"
O 1.883 2.899 1.387
O 0.735 4.524 8.527
O 1.569 3.080 6.343
O -1.569 3.080 8.527
O 1.148 1.625 3.570
O 3.550 2.899 3.570
O 1.982 0.182 1.387
O 4.285 1.625 1.387
O -0.735 4.524 6.343
O -0.833 1.807 6.343
O 0.833 1.807 8.527
O 3.452 0.182 3.570
In 0.000 3.137 2.478
In 2.717 1.569 7.435
Ca 0.000 0.000 4.957
Ca 0.000 0.000 0.000
I 2.717 1.569 2.478
I 0.000 3.137 7.435

***

(4)
4
Lattice="4.270 0.000 0.000 2.135 3.698 0.000 2.135 1.233 4.160" Properties=species:S:1:pos:R:3 comment="PaCo2Os PBE relaxed" formation_enthalpy_0k_ev_per_fu=-0.45 sg=R-3m e_above_lowest_polymorph_mev_per_atom=119 pbc="T T T"
Co 6.406 3.698 3.795
Co 2.135 1.233 0.365
Pa 4.270 2.466 2.080
Os 0.000 0.000 0.000

***

(5)
4
Lattice="4.179 0.000 0.000 2.090 3.619 0.000 2.090 1.206 9.314" Properties=species:S:1:pos:R:3 comment="SrHo2Pt PBE relaxed" formation_enthalpy_0k_ev_per_fu=-2.34 sg=R3m e_above_lowest_polymorph_mev_per_atom=0 pbc="T T T"
Pt 4.179 2.413 0.008
Sr 4.179 2.413 4.629
Ho 2.090 1.206 1.418
Ho 2.090 1.206 7.916

***

(6)
9
Lattice="-5.084 2.386 -0.726 -1.070 -5.251 -1.356 -1.129 -3.791 3.861" Properties=species:S:1:pos:R:3 comment="Ti2MnAl6 PBE relaxed" formation_enthalpy_0k_ev_per_fu=-1.65 sg=C2/m pbc="T T T"
Al -4.269 -2.117 -0.811
Al -3.014 -4.539 2.591
Al -2.985 -5.242 0.078
Al -4.297 -1.414 1.701
Al -4.025 0.441 -0.169
Al -3.258 -7.097 1.949
Ti -5.762 -3.769 0.989
Ti -1.521 -2.887 0.790
Mn 0.000 0.000 0.000

***

(7)
11
Lattice="-5.194 4.989 0.598 -6.157 -5.958 1.716 -0.990 -1.401 8.568" Properties=species:S:1:pos:R:3 comment="NaHf2Br8 PBE relaxed" sg=C2/m formation_energy_uncorrected_ev_per_atom=-1.24 e_above_lowest_polymorph_mev_per_atom=0 pbc="T T T"
Hf -9.072 -2.755 8.673
Hf -3.270 0.385 2.210
Br -5.270 2.375 6.598
Br -7.072 -4.745 4.285
Br -8.473 -0.998 7.053
Br -4.923 2.250 2.216
Br -8.423 -0.405 2.417
Br -3.919 -1.964 8.466
Br -3.869 -1.372 3.830
Br -7.419 -4.620 8.667
Na 0.000 0.000 0.000

***

(8)
16
Lattice="3.915 0.000 0.000 0.000 3.915 0.000 0.000 0.000 15.612" Properties=species:S:1:pos:R:3 comment="MgFe3Pd12 PBE relaxed" formation_enthalpy_0k_ev_per_fu=-3.09 sg=P4/mmm pbc="T T T"
Pd 1.957 0.000 9.727
Pd 0.000 1.957 13.568
Pd 0.000 1.957 5.885
Pd 1.957 1.957 0.000
Pd 1.957 0.000 2.044
Pd 1.957 1.957 3.962
Pd 0.000 1.957 2.044
Pd 1.957 1.957 7.806
Pd 1.957 0.000 5.885
Pd 1.957 0.000 13.568
Pd 0.000 1.957 9.727
Pd 1.957 1.957 11.650
Fe 0.000 0.000 11.713
Fe 0.000 0.000 3.899
Fe 0.000 0.000 7.806
Mg 0.000 0.000 0.000

***

(9)
4
Lattice="2.843 0.001 0.000 -0.873 2.706 0.000 0.000 0.000 9.728" Properties=species:S:1:pos:R:3 comment="TaP2W PBE relaxed" formation_enthalpy_0k_ev_per_fu=-0.01 sg=Cmm2 pbc="T T T"
P 0.000 0.000 9.038
P 0.985 1.354 3.081
Ta 0.000 0.000 4.962
W 0.985 1.354 7.239

***

(10)
11
Lattice="7.007 0.000 0.000 -3.503 6.612 -1.861 0.000 -0.651 7.150" Properties=species:S:1:pos:R:3 comment="Bi4S5Cl2 PBE relaxed" sg=C2/m formation_energy_uncorrected_ev_per_atom=-0.41 pbc="T T T"
S 1.767 3.264 4.411
S -1.767 3.264 4.411
S 1.736 2.697 0.879
S 3.503 -0.326 3.575
S 5.270 2.697 0.879
Cl 3.503 5.718 -0.090
Cl 0.000 0.243 5.379
Bi 3.503 1.536 5.422
Bi 3.503 4.227 2.286
Bi 0.000 1.734 3.004
Bi 0.000 4.425 -0.133

***

(11)
4
Lattice="4.498 -0.004 0.000 -2.251 3.896 0.001 -0.001 -0.001 5.705" Properties=species:S:1:pos:R:3 comment="CdGeS2 PBE relaxed" sg=P3m1 formation_energy_uncorrected_ev_per_atom=-0.34 pbc="T T T"
Ge -0.056 3.228 0.844
S 2.193 1.928 0.711
S -0.055 3.228 3.318
Cd 2.193 1.929 3.795

***

(12)
4
Lattice="-0.665 -0.405 3.652 -3.340 -1.493 -0.774 3.431 -7.566 -0.215" Properties=species:S:1:pos:R:3 comment="KTl2Au PBE relaxed" formation_enthalpy_0k_ev_per_fu=-0.45 sg=P4/mmm pbc="T T T"
Tl 1.532 -3.378 -0.096
Tl 0.184 -0.405 -0.012
K 0.571 -6.623 1.277
Au -1.144 -2.840 1.385